Record 1
Below is CaSiRh after structural relaxation, with properties calculated at the PBEsol level.

**Total energy**: -17.99 eV for the cell shown
**Raw formation energy**: -655.7 meV per atom
**Symmetry**: I4mm

Cell: 3.140 3.140 5.784 Å, 105.75 105.75 90.00°
Element x y z (fractional)
Ca  0.000  0.000  0.999
Rh  0.297  0.297  0.594
Si  0.703  0.703  0.407



Record 2
Below is CaSi2Rh2 after structural relaxation, with properties calculated at the PBEsol level.

**Total energy**: -34.98 eV for the cell shown
**Raw formation energy**: -1015.0 meV per atom
**Symmetry**: I4/mmm

Cell: 4.048 4.048 5.727 Å, 110.70 110.70 90.00°
Element x y z (fractional)
Rh  0.250  0.750  0.500
Rh  0.750  0.250  0.500
Si  0.626  0.626  0.252
Si  0.374  0.374  0.748
Ca  0.000  0.000  0.000



Record 3
Below is Ca2SiRh after structural relaxation, with properties calculated at the PBEsol level.

**Total energy**: -20.42 eV for the cell shown
**Raw formation energy**: -566.2 meV per atom
**Symmetry**: Amm2

Cell: 4.053 4.460 5.620 Å, 113.38 90.00 90.00°
Element x y z (fractional)
Ca  0.000  0.106  0.211
Ca  0.500  0.394  0.787
Si  0.500  0.697  0.394
Rh  0.000  0.804  0.608